(1)
Material: CaEr2ZnPd4
Method: DFT, PBE-GGA
State: optimized geometry

Cell lengths 4.785, 4.785, 8.422 Å; angles 73.50, 73.50, 60.00 degrees
Fractional positions:
Ca1 0.000 0.000 0.000
Er1 0.757 0.757 0.729
Er2 0.243 0.243 0.271
Zn1 0.500 0.500 0.500
Pd1 0.385 0.385 0.844
Pd2 0.874 0.874 0.379
Pd3 0.126 0.126 0.621
Pd4 0.615 0.615 0.156

Results
theoretical density = 9.11 g/cm³
symmetry = No. 166
total magnetization = 0.00 μB per formula unit
ΔE_f = -753 meV/atom


(2)
Material: SmTm2Hf
Method: DFT, PBE-GGA
State: optimized geometry

Cell lengths 3.427, 3.427, 11.339 Å; angles 81.31, 81.31, 60.00 degrees
Fractional positions:
Sm1 0.500 0.500 0.499
Tm1 0.077 0.077 0.768
Tm2 0.256 0.256 0.232
Hf1 0.666 0.666 0.001

Results
theoretical density = 9.75 g/cm³
symmetry = No. 160
offset from the most stable computed form = 0.000 eV/atom
total magnetization = 0.00 μB per formula unit
ΔE_f = 101 meV/atom


(3)
Material: K2RbSnSe
Method: DFT, PBE-GGA
State: optimized geometry

Cell lengths 6.280, 6.619, 6.280 Å; angles 90.00, 90.00, 90.00 degrees
Each line ends with the local moment (μB).
Fractional positions:
K1 0.000 0.000 0.500  0.01
K2 0.500 0.000 0.000  0.01
Se1 0.000 0.000 0.000  0.08
Sn1 0.500 0.500 0.500  0.88
Rb1 0.000 0.500 0.000  0.02

Results
theoretical density = 2.30 g/cm³
symmetry = No. 123
formation energy from raw total energies = -184 kJ/mol of formula units
total magnetization = 3.00 μB per formula unit


(4)
Material: Dy4RuPt2
Method: DFT, PBE-GGA
State: optimized geometry

Cell lengths 4.804, 6.002, 6.002 Å; angles 109.54, 90.00, 90.00 degrees
Fractional positions:
Dy1 0.000 0.749 0.749
Dy2 0.000 0.251 0.251
Dy3 0.500 0.000 0.500
Dy4 0.500 0.500 0.000
Ru1 0.500 0.500 0.500
Pt1 0.000 0.749 0.251
Pt2 0.000 0.251 0.749

Results
theoretical density = 11.62 g/cm³
symmetry = No. 65
total magnetization = 0.00 μB per formula unit
ΔE_f = -850 meV/atom


(5)
Material: PmNdSi2
Method: DFT, PBE-GGA
State: optimized geometry

Cell lengths 3.936, 5.898, 8.218 Å; angles 90.00, 90.00, 90.00 degrees
Fractional positions:
Pm1 0.500 0.364 0.320
Pm2 0.500 0.636 0.820
Nd1 0.000 0.136 0.680
Nd2 0.000 0.864 0.180
Si1 0.000 0.626 0.535
Si2 0.000 0.374 0.035
Si3 0.500 0.871 0.465
Si4 0.500 0.129 0.965

Results
theoretical density = 6.01 g/cm³
symmetry = No. 26
formation energy from raw total energies = -299 kJ/mol of formula units
total magnetization = 0.00 μB per formula unit


(6)
Material: CuBiI3
Method: DFT, PBE-GGA
State: optimized geometry

Cell lengths 5.394, 5.394, 5.394 Å; angles 90.00, 90.00, 90.00 degrees
Fractional positions:
I1 0.000 0.500 0.000
I2 0.000 0.000 0.500
I3 0.500 0.000 0.000
Bi1 0.500 0.500 0.500
Cu1 0.000 0.000 0.000

Results
theoretical density = 6.91 g/cm³
symmetry = No. 221
offset from the most stable computed form = 0.349 eV/atom
formation energy from raw total energies = 79 kJ/mol of formula units
total magnetization = 0.00 μB per formula unit


(7)
Material: PrNdPb
Method: DFT, PBE-GGA
State: optimized geometry

Cell lengths 5.384, 5.384, 5.384 Å; angles 60.00, 60.00, 60.00 degrees
Fractional positions:
Pb1 0.250 0.250 0.250
Pr1 0.500 0.500 0.500
Nd1 0.000 0.000 0.000

Results
theoretical density = 7.41 g/cm³
symmetry = No. 216
offset from the most stable computed form = 0.172 eV/atom
total magnetization = 0.05 μB per formula unit
ΔE_f = -274 meV/atom


(8)
Material: RbCd3Rh
Method: DFT, PBE-GGA
State: optimized geometry

Cell lengths 3.507, 9.016, 9.016 Å; angles 137.48, 90.00, 90.00 degrees
Fractional positions:
Rh1 0.000 0.450 0.550
Rb1 0.500 0.094 0.906
Cd1 0.500 0.114 0.316
Cd2 0.500 0.684 0.886
Cd3 0.000 0.287 0.713

Results
theoretical density = 4.53 g/cm³
symmetry = No. 38
offset from the most stable computed form = 0.384 eV/atom
total magnetization = 0.00 μB per formula unit
ΔE_f = 276 meV/atom


(9)
Material: Li2ReC
Method: DFT, PBE-GGA
State: optimized geometry

Cell lengths 6.692, 6.692, 5.149 Å; angles 49.47, 49.47, 90.00 degrees
Fractional positions:
Re1 0.000 0.000 0.000
Re2 0.750 0.250 0.500
C1 0.500 0.500 0.000
C2 0.250 0.750 0.500
Li1 0.550 0.125 0.250
Li2 0.200 0.625 0.250
Li3 0.375 0.450 0.750
Li4 0.875 0.800 0.750

Results
theoretical density = 7.75 g/cm³
symmetry = No. 122
total magnetization = 0.00 μB per formula unit
ΔE_f = 669 meV/atom


(10)
Material: V2Zn2In
Method: DFT, PBE-GGA
State: optimized geometry

Cell lengths 7.176, 7.176, 3.225 Å; angles 90.00, 90.00, 90.00 degrees
Fractional positions:
Zn1 0.193 0.693 0.500
Zn2 0.693 0.807 0.500
Zn3 0.807 0.307 0.500
Zn4 0.307 0.193 0.500
In1 0.000 0.000 0.000
In2 0.500 0.500 0.000
V1 0.400 0.900 0.000
V2 0.900 0.600 0.000
V3 0.600 0.100 0.000
V4 0.100 0.400 0.000

Results
theoretical density = 6.95 g/cm³
symmetry = No. 127
total magnetization = 0.00 μB per formula unit
ΔE_f = 267 meV/atom


(11)
Material: Y2Hf2Mn
Method: DFT, PBE-GGA
State: optimized geometry

Cell lengths 6.673, 6.673, 5.353 Å; angles 90.00, 90.00, 90.00 degrees
Each line ends with the local moment (μB).
Fractional positions:
Y1 0.169 0.669 0.500  -0.01
Y2 0.669 0.831 0.500  -0.01
Y3 0.831 0.331 0.500  -0.01
Y4 0.331 0.169 0.500  -0.01
Mn1 0.000 0.000 0.000  1.17
Mn2 0.500 0.500 0.000  1.17
Hf1 0.343 0.843 0.000  -0.11
Hf2 0.843 0.657 0.000  -0.11
Hf3 0.657 0.157 0.000  -0.11
Hf4 0.157 0.343 0.000  -0.11

Results
theoretical density = 8.22 g/cm³
symmetry = No. 127
total magnetization = 0.89 μB per formula unit
ΔE_f = 236 meV/atom


(12)
Material: Ho10In3Sb3
Method: DFT, PBE-GGA
State: optimized geometry

Cell lengths 6.505, 8.922, 8.922 Å; angles 120.00, 90.00, 90.00 degrees
Fractional positions:
Ho1 0.252 0.667 0.333
Ho2 0.252 0.333 0.667
Ho3 0.748 0.333 0.667
Ho4 0.748 0.667 0.333
Ho5 0.500 0.000 0.764
Ho6 0.500 0.764 0.000
Ho7 0.500 0.236 0.236
Ho8 0.000 0.000 0.237
Ho9 0.000 0.237 0.000
Ho10 0.000 0.763 0.763
In1 0.500 0.000 0.396
In2 0.500 0.396 0.000
In3 0.500 0.604 0.604
Sb1 0.000 0.000 0.605
Sb2 0.000 0.605 0.000
Sb3 0.000 0.395 0.395

Results
theoretical density = 8.73 g/cm³
symmetry = No. 189
formation energy from raw total energies = -1021 kJ/mol of formula units
total magnetization = 0.00 μB per formula unit


(13)
Material: ZrAgMo
Method: DFT, PBE-GGA
State: optimized geometry

Cell lengths 4.580, 4.580, 4.580 Å; angles 60.00, 60.00, 60.00 degrees
Each line ends with the local moment (μB).
Fractional positions:
Ag1 0.000 0.000 0.000  0.07
Mo1 0.500 0.500 0.500  1.99
Zr1 0.750 0.750 0.750  0.25

Results
theoretical density = 7.21 g/cm³
symmetry = No. 216
offset from the most stable computed form = 1.223 eV/atom
total magnetization = 2.69 μB per formula unit
ΔE_f = 1179 meV/atom


(14)
Material: Ac6Ge3P2Se
Method: DFT, PBE-GGA
State: optimized geometry

Cell lengths 4.465, 9.213, 10.228 Å; angles 105.10, 102.61, 90.00 degrees
Fractional positions:
Ac1 0.333 0.907 0.665
Ac2 0.669 0.575 0.339
Ac3 0.667 0.093 0.335
Ac4 0.003 0.255 0.006
Ac5 0.997 0.745 0.994
Ac6 0.331 0.425 0.661
Ge1 0.500 0.500 0.000
Ge2 0.835 0.167 0.670
Ge3 0.165 0.833 0.330
P1 0.834 0.668 0.668
P2 0.166 0.332 0.332
Se1 0.500 0.000 0.000

Results
theoretical density = 7.22 g/cm³
symmetry = No. 12
formation energy from raw total energies = -1280 kJ/mol of formula units
total magnetization = 0.00 μB per formula unit


(15)
Material: Na4La3BiS8
Method: DFT, PBE-GGA
State: optimized geometry

Cell lengths 8.377, 8.267, 8.376 Å; angles 120.47, 120.00, 90.00 degrees
Fractional positions:
Na1 0.500 0.000 0.000
Na2 0.500 0.000 0.500
Na3 0.000 0.000 0.000
Na4 0.000 0.000 0.500
La1 0.500 0.500 0.000
La2 0.500 0.500 0.500
La3 0.000 0.500 0.500
Bi1 0.000 0.500 0.000
S1 0.243 0.735 0.993
S2 0.243 0.735 0.486
S3 0.255 0.267 0.511
S4 0.749 0.735 0.993
S5 0.251 0.265 0.007
S6 0.745 0.733 0.489
S7 0.757 0.265 0.514
S8 0.757 0.265 0.007

Results
theoretical density = 3.97 g/cm³
symmetry = No. 166
formation energy from raw total energies = -2440 kJ/mol of formula units
total magnetization = 0.00 μB per formula unit


(16)
Material: DyEr6Tm5
Method: DFT, PBE-GGA
State: optimized geometry

Cell lengths 6.052, 6.047, 11.585 Å; angles 85.01, 79.98, 59.97 degrees
Fractional positions:
Er1 0.583 0.334 0.251
Er2 0.083 0.334 0.749
Er3 0.750 0.000 0.749
Er4 0.250 0.000 0.251
Er5 0.917 0.666 0.251
Er6 0.417 0.666 0.749
Tm1 0.167 0.666 0.500
Tm2 0.333 0.333 0.000
Tm3 0.500 0.000 0.500
Tm4 0.667 0.667 0.000
Tm5 0.833 0.334 0.500
Dy1 0.000 0.000 0.000

Results
theoretical density = 9.24 g/cm³
symmetry = No. 12
total magnetization = 0.00 μB per formula unit
ΔE_f = 24 meV/atom


(17)
Material: CaCd2Cu
Method: DFT, PBE-GGA
State: optimized geometry

Cell lengths 3.393, 3.390, 7.596 Å; angles 90.00, 90.00, 90.00 degrees
Fractional positions:
Ca1 0.500 0.500 0.750
Cu1 0.500 0.500 0.250
Cd1 0.000 0.000 0.052
Cd2 0.000 0.000 0.448

Results
theoretical density = 6.24 g/cm³
symmetry = No. 123
total magnetization = 0.00 μB per formula unit
ΔE_f = -114 meV/atom


(18)
Material: BaCaLaSbO6
Method: DFT, PBE-GGA
State: optimized geometry

Cell lengths 6.121, 6.121, 6.121 Å; angles 60.00, 60.00, 60.00 degrees
Fractional positions:
Ba1 0.250 0.250 0.250
Ca1 0.750 0.750 0.750
La1 0.000 0.000 0.000
Sb1 0.500 0.500 0.500
O1 0.269 0.731 0.269
O2 0.731 0.269 0.731
O3 0.269 0.731 0.731
O4 0.731 0.269 0.269
O5 0.269 0.269 0.731
O6 0.731 0.731 0.269

Results
theoretical density = 5.47 g/cm³
symmetry = No. 216
offset from the most stable computed form = 0.096 eV/atom
formation energy from raw total energies = -2402 kJ/mol of formula units
total magnetization = 0.00 μB per formula unit


(19)
Material: PmMnGa5Pt2
Method: DFT, PBE-GGA
State: optimized geometry

Cell lengths 4.296, 4.296, 10.110 Å; angles 90.00, 90.00, 90.00 degrees
Each line ends with the local moment (μB).
Fractional positions:
Pm1 0.000 0.000 0.500  0.07
Mn1 0.000 0.000 0.000  2.94
Ga1 0.000 0.500 0.142  -0.04
Ga2 0.500 0.000 0.142  -0.04
Ga3 0.000 0.500 0.858  -0.04
Ga4 0.500 0.000 0.858  -0.04
Ga5 0.500 0.500 0.500  0.02
Pt1 0.500 0.500 0.269  -0.01
Pt2 0.500 0.500 0.731  -0.01

Results
theoretical density = 8.35 g/cm³
symmetry = No. 123
total magnetization = 3.04 μB per formula unit
ΔE_f = -307 meV/atom


(20)
Material: Cs4Re6Se13
Method: DFT, PBE-GGA
State: optimized geometry

Cell lengths 10.496, 10.496, 14.552 Å; angles 84.25, 84.25, 118.74 degrees
Fractional positions:
Cs1 0.330 0.080 0.587
Cs2 0.080 0.330 0.087
Cs3 0.278 0.319 0.784
Cs4 0.319 0.278 0.284
Cs5 0.670 0.920 0.413
Cs6 0.920 0.670 0.913
Cs7 0.681 0.722 0.716
Cs8 0.722 0.681 0.216
Re1 0.684 0.006 0.979
Re2 0.423 0.855 0.925
Re3 0.316 0.994 0.021
Re4 0.577 0.145 0.075
Re5 0.855 0.423 0.425
Re6 0.145 0.577 0.575
Re7 0.006 0.684 0.479
Re8 0.149 0.562 0.394
Re9 0.994 0.316 0.521
Re10 0.851 0.438 0.606
Re11 0.562 0.149 0.894
Re12 0.438 0.851 0.106
Se1 0.194 0.713 0.052
Se2 0.690 0.006 0.153
Se3 0.339 0.989 0.194
Se4 0.713 0.194 0.552
Se5 0.639 0.361 0.750
Se6 0.457 0.276 0.993
Se7 0.661 0.011 0.806
Se8 0.287 0.806 0.448
Se9 0.006 0.690 0.653
Se10 0.947 0.025 0.933
Se11 0.720 0.360 0.165
Se12 0.053 0.975 0.067
Se13 0.724 0.543 0.507
Se14 0.310 0.994 0.847
Se15 0.806 0.287 0.948
Se16 0.011 0.661 0.306
Se17 0.360 0.720 0.665
Se18 0.361 0.639 0.250
Se19 0.989 0.339 0.694
Se20 0.276 0.457 0.493
Se21 0.543 0.724 0.007
Se22 0.280 0.640 0.835
Se23 0.025 0.947 0.433
Se24 0.640 0.280 0.335
Se25 0.975 0.053 0.567
Se26 0.994 0.310 0.347

Results
theoretical density = 6.45 g/cm³
symmetry = No. 15
formation energy from raw total energies = -1506 kJ/mol of formula units
total magnetization = 0.00 μB per formula unit